No. 1
Material: NbPtPb
Method: DFT, PBE
State: optimized geometry

```
data_NbPtPb
_space_group_name_H-M_alt 'P 1'
_space_group_IT_number 1
_cell_length_a 4.569
_cell_length_b 4.569
_cell_length_c 4.569
_cell_angle_alpha 60.00
_cell_angle_beta 60.00
_cell_angle_gamma 60.00
loop_
_space_group_symop_operation_xyz
'x,y,z'
loop_
_atom_site_label
_atom_site_type_symbol
_atom_site_fract_x
_atom_site_fract_y
_atom_site_fract_z
Pb1 Pb 0.750 0.750 0.750
Pt1 Pt 0.250 0.250 0.250
Nb1 Nb 0.000 0.000 0.000
```

spin magnetization	0.0	μB per cell
calculated total energy	-6.3391	eV/atom



No. 2
Material: LiZr3Ge5
Method: DFT, PBE
State: optimized geometry

```
data_LiZr3Ge5
_space_group_name_H-M_alt 'P 1'
_space_group_IT_number 1
_cell_length_a 5.902
_cell_length_b 5.902
_cell_length_c 6.863
_cell_angle_alpha 90.00
_cell_angle_beta 90.00
_cell_angle_gamma 120.00
loop_
_space_group_symop_operation_xyz
'x,y,z'
loop_
_atom_site_label
_atom_site_type_symbol
_atom_site_fract_x
_atom_site_fract_y
_atom_site_fract_z
Zr1 Zr 0.500 0.500 0.500
Ge1 Ge 0.000 0.000 0.500
Ge2 Ge 0.667 0.333 0.826
Ge3 Ge 0.333 0.667 0.174
Ge4 Ge 0.333 0.667 0.826
Li1 Li 0.000 0.000 0.000
Ge5 Ge 0.667 0.333 0.174
Zr2 Zr 0.000 0.500 0.500
Zr3 Zr 0.500 0.000 0.500
```

spin magnetization	0.0	μB per cell
calculated total energy	-5.7268	eV/atom



No. 3
Material: YHfTlCu
Method: DFT, PBE
State: optimized geometry

```
data_YHfTlCu
_space_group_name_H-M_alt 'P 1'
_space_group_IT_number 1
_cell_length_a 5.014
_cell_length_b 5.014
_cell_length_c 5.014
_cell_angle_alpha 60.00
_cell_angle_beta 60.00
_cell_angle_gamma 60.00
loop_
_space_group_symop_operation_xyz
'x,y,z'
loop_
_atom_site_label
_atom_site_type_symbol
_atom_site_fract_x
_atom_site_fract_y
_atom_site_fract_z
Hf1 Hf 0.250 0.250 0.250
Tl1 Tl 0.000 0.000 0.000
Cu1 Cu 0.750 0.750 0.750
Y1 Y 0.500 0.500 0.500
```

distance to the lowest polymorph of the same formula	0.000	eV/atom
spin magnetization	2.6	μB per cell



No. 4
Material: Tb3Sn3Ir2Pt
Method: DFT, PBE
State: optimized geometry

```
data_Tb3Sn3Ir2Pt
_space_group_name_H-M_alt 'P 1'
_space_group_IT_number 1
_cell_length_a 7.519
_cell_length_b 7.519
_cell_length_c 3.974
_cell_angle_alpha 90.00
_cell_angle_beta 90.00
_cell_angle_gamma 120.00
loop_
_space_group_symop_operation_xyz
'x,y,z'
loop_
_atom_site_label
_atom_site_type_symbol
_atom_site_fract_x
_atom_site_fract_y
_atom_site_fract_z
Ir1 Ir 0.333 0.667 0.000
Sn1 Sn 0.000 0.263 0.000
Pt1 Pt 0.000 0.000 0.500
Tb1 Tb 0.408 0.408 0.500
Ir2 Ir 0.667 0.333 0.000
Sn2 Sn 0.263 0.000 0.000
Tb2 Tb 0.592 0.000 0.500
Sn3 Sn 0.737 0.737 0.000
Tb3 Tb 0.000 0.592 0.500
```

spin magnetization	0.0	μB per cell
calculated total energy	-6.4289	eV/atom



No. 5
Material: Ta2NbAu2
Method: DFT, PBE
State: optimized geometry

```
data_Ta2NbAu2
_space_group_name_H-M_alt 'P 1'
_space_group_IT_number 1
_cell_length_a 8.063
_cell_length_b 8.063
_cell_length_c 8.063
_cell_angle_alpha 155.65
_cell_angle_beta 155.65
_cell_angle_gamma 34.71
loop_
_space_group_symop_operation_xyz
'x,y,z'
loop_
_atom_site_label
_atom_site_type_symbol
_atom_site_fract_x
_atom_site_fract_y
_atom_site_fract_z
Au1 Au 0.801 0.801 0.000
Nb1 Nb 0.000 0.000 0.000
Ta1 Ta 0.600 0.600 0.000
Au2 Au 0.199 0.199 0.000
Ta2 Ta 0.400 0.400 0.000
```

spin magnetization	0.0	μB per cell
formation energy	-0.152	eV per atom



No. 6
Material: Dy3GeSe2
Method: DFT, PBE
State: optimized geometry

```
data_Dy3GeSe2
_space_group_name_H-M_alt 'P 1'
_space_group_IT_number 1
_cell_length_a 7.126
_cell_length_b 7.126
_cell_length_c 7.126
_cell_angle_alpha 146.31
_cell_angle_beta 132.06
_cell_angle_gamma 59.86
loop_
_space_group_symop_operation_xyz
'x,y,z'
loop_
_atom_site_label
_atom_site_type_symbol
_atom_site_fract_x
_atom_site_fract_y
_atom_site_fract_z
Ge1 Ge 0.500 0.500 0.000
Dy1 Dy 0.659 0.159 0.500
Dy2 Dy 0.341 0.841 0.500
Dy3 Dy 0.000 0.500 0.500
Se1 Se 0.169 0.169 0.000
Se2 Se 0.831 0.831 0.000
```

spin magnetization	0.0	μB per cell
calculated total energy	-5.8019	eV/atom



No. 7
Material: BaTbTh
Method: DFT, PBE
State: optimized geometry

```
data_BaTbTh
_space_group_name_H-M_alt 'P 1'
_space_group_IT_number 1
_cell_length_a 5.720
_cell_length_b 5.720
_cell_length_c 5.720
_cell_angle_alpha 60.00
_cell_angle_beta 60.00
_cell_angle_gamma 60.00
loop_
_space_group_symop_operation_xyz
'x,y,z'
loop_
_atom_site_label
_atom_site_type_symbol
_atom_site_fract_x
_atom_site_fract_y
_atom_site_fract_z
Th1 Th 0.500 0.500 0.500
Tb1 Tb 0.250 0.250 0.250
Ba1 Ba 0.000 0.000 0.000
```

distance to the lowest polymorph of the same formula	0.000	eV/atom
spin magnetization	0.1	μB per cell



No. 8
Material: RbCuTePt
Method: DFT, PBE
State: optimized geometry

```
data_RbCuTePt
_space_group_name_H-M_alt 'P 1'
_space_group_IT_number 1
_cell_length_a 5.106
_cell_length_b 5.106
_cell_length_c 5.106
_cell_angle_alpha 60.00
_cell_angle_beta 60.00
_cell_angle_gamma 60.00
loop_
_space_group_symop_operation_xyz
'x,y,z'
loop_
_atom_site_label
_atom_site_type_symbol
_atom_site_fract_x
_atom_site_fract_y
_atom_site_fract_z
Rb1 Rb 0.250 0.250 0.250
Cu1 Cu 0.750 0.750 0.750
Te1 Te 0.000 0.000 0.000
Pt1 Pt 0.500 0.500 0.500
```

distance to the lowest polymorph of the same formula	0.198	eV/atom
spin magnetization	0.0	μB per cell



No. 9
Material: Tm2NbGa2
Method: DFT, PBE
State: optimized geometry

```
data_Tm2NbGa2
_space_group_name_H-M_alt 'P 1'
_space_group_IT_number 1
_cell_length_a 7.222
_cell_length_b 7.222
_cell_length_c 4.144
_cell_angle_alpha 90.00
_cell_angle_beta 90.00
_cell_angle_gamma 90.00
loop_
_space_group_symop_operation_xyz
'x,y,z'
loop_
_atom_site_label
_atom_site_type_symbol
_atom_site_fract_x
_atom_site_fract_y
_atom_site_fract_z
Tm1 Tm 0.678 0.178 0.500
Tm2 Tm 0.178 0.322 0.500
Nb1 Nb 0.000 0.000 0.000
Ga1 Ga 0.373 0.127 0.000
Ga2 Ga 0.127 0.627 0.000
Nb2 Nb 0.500 0.500 0.000
Ga3 Ga 0.873 0.373 0.000
Tm3 Tm 0.322 0.822 0.500
Tm4 Tm 0.822 0.678 0.500
Ga4 Ga 0.627 0.873 0.000
```

spin magnetization	2.8	μB per cell
calculated total energy	-5.3399	eV/atom



No. 10
Material: Re3Bi4Pd
Method: DFT, PBE
State: optimized geometry

```
data_Re3Bi4Pd
_space_group_name_H-M_alt 'P 1'
_space_group_IT_number 1
_cell_length_a 7.872
_cell_length_b 7.872
_cell_length_c 3.180
_cell_angle_alpha 101.65
_cell_angle_beta 101.65
_cell_angle_gamma 62.07
loop_
_space_group_symop_operation_xyz
'x,y,z'
loop_
_atom_site_label
_atom_site_type_symbol
_atom_site_fract_x
_atom_site_fract_y
_atom_site_fract_z
Bi1 Bi 0.156 0.569 0.862
Pd1 Pd 0.000 0.000 0.000
Re1 Re 0.500 0.500 0.500
Bi2 Bi 0.844 0.431 0.138
Bi3 Bi 0.431 0.844 0.138
Re2 Re 0.175 0.175 0.675
Re3 Re 0.825 0.825 0.325
Bi4 Bi 0.569 0.156 0.862
```

spin magnetization	0.0	μB per cell
calculated total energy	-6.4112	eV/atom



No. 11
Material: K2Ni3Sb2
Method: DFT, PBE
State: optimized geometry

```
data_K2Ni3Sb2
_space_group_name_H-M_alt 'P 1'
_space_group_IT_number 1
_cell_length_a 11.639
_cell_length_b 11.639
_cell_length_c 11.639
_cell_angle_alpha 21.30
_cell_angle_beta 21.30
_cell_angle_gamma 21.30
loop_
_space_group_symop_operation_xyz
'x,y,z'
loop_
_atom_site_label
_atom_site_type_symbol
_atom_site_fract_x
_atom_site_fract_y
_atom_site_fract_z
Ni1 Ni 0.664 0.664 0.664
Sb1 Sb 0.507 0.507 0.507
Ni2 Ni 0.346 0.346 0.346
Ni3 Ni 0.847 0.847 0.847
K1 K 0.251 0.251 0.251
Sb2 Sb 0.004 0.004 0.004
K2 K 0.757 0.757 0.757
```

spin magnetization	0.5	μB per cell
calculated total energy	-3.9973	eV/atom



No. 12
Material: NiHgSbPd
Method: DFT, PBE
State: optimized geometry

```
data_NiHgSbPd
_space_group_name_H-M_alt 'P 1'
_space_group_IT_number 1
_cell_length_a 4.634
_cell_length_b 4.634
_cell_length_c 4.634
_cell_angle_alpha 60.00
_cell_angle_beta 60.00
_cell_angle_gamma 60.00
loop_
_space_group_symop_operation_xyz
'x,y,z'
loop_
_atom_site_label
_atom_site_type_symbol
_atom_site_fract_x
_atom_site_fract_y
_atom_site_fract_z
Hg1 Hg 0.500 0.500 0.500
Sb1 Sb 0.000 0.000 0.000
Pd1 Pd 0.250 0.250 0.250
Ni1 Ni 0.750 0.750 0.750
```

distance to the lowest polymorph of the same formula	0.000	eV/atom
spin magnetization	0.0	μB per cell



> Which formula does entry 2 have?

LiZr3Ge5



> Look up the spin magnetization of the sixth one.

0.0 μB per cell



> Look up the spin magnetization of the seventh one.

0.1 μB per cell